No. 1
ThB2Ir3 | Alexandria | GGA-PBEsol | optimized geometry; volume = 13.74 A^3/atom; N(E_F) = 0.46 states/eV per atom; calculated formation energy = -721 meV/atom; total energy = -9.32 eV per atom; mass density = 16.72 Mg/m³
1.0
3.233 0.000 0.000
0.000 5.427 0.000
0.000 -2.714 4.700
B Th Ir
2 1 3
Cartesian
0.000 2.714 1.567 B
0.000 0.000 3.133 B
0.000 0.000 0.000 Th
1.616 -1.357 2.350 Ir
1.616 2.714 0.000 Ir
1.616 1.357 2.350 Ir


No. 2
Ti2B2Ir | Alexandria | GGA-PBEsol | optimized geometry; volume = 10.90 A^3/atom; N(E_F) = 0.46 states/eV per atom; calculated formation energy = -999 meV/atom; total energy = -9.10 eV per atom; mass density = 9.43 Mg/m³
1.0
-2.600 -1.870 -0.989
3.596 -3.787 -2.290
0.160 -2.838 4.944
B Ti Ir
4 4 2
Cartesian
1.534 -3.984 3.499 B
3.288 -5.099 0.998 B
2.222 -2.642 -0.846 B
0.468 -1.526 1.655 B
-0.565 -3.510 2.440 Ti
1.258 -5.832 2.042 Ti
1.721 -4.985 -0.776 Ti
-0.101 -2.663 -0.378 Ti
0.000 0.000 0.000 Ir
1.878 -3.313 1.327 Ir


No. 3
TlBIr2 | Alexandria | GGA-PBEsol | optimized geometry; volume = 14.85 A^3/atom; N(E_F) = 0.42 states/eV per atom; calculated formation energy = 240 meV/atom; total energy = -7.08 eV per atom; mass density = 16.77 Mg/m³
1.0
5.409 -0.024 0.000
-2.675 4.702 0.000
-1.367 -2.339 4.682
Tl Ir B
2 4 2
Cartesian
0.000 0.000 0.000 Tl
-1.337 2.351 2.341 Tl
1.409 1.530 1.896 Ir
-0.726 -0.360 2.786 Ir
1.979 -0.372 4.237 Ir
0.072 3.880 0.445 Ir
1.367 2.339 0.000 B
2.705 -0.012 2.341 B


No. 4
TlBIr3 | Alexandria | GGA-PBEsol | optimized geometry; volume = 14.42 A^3/atom; N(E_F) = 0.47 states/eV per atom; calculated formation energy = 206 meV/atom; total energy = -7.62 eV per atom; mass density = 18.23 Mg/m³
1.0
-0.968 -2.137 3.438
3.629 -2.025 -0.237
1.795 2.942 2.335
Tl Ir B
1 3 1
Cartesian
2.227 -0.611 2.768 Tl
1.814 -1.013 -0.119 Ir
0.897 1.471 1.167 Ir
-0.484 -1.069 1.719 Ir
0.000 0.000 0.000 B


No. 5
TmB4Ir4 | Alexandria | GGA-PBEsol | optimized geometry; volume = 11.72 A^3/atom; N(E_F) = 0.42 states/eV per atom; calculated formation energy = -540 meV/atom; total energy = -8.57 eV per atom; mass density = 15.45 Mg/m³
1.0
5.347 0.000 0.000
0.000 5.347 0.000
0.000 0.000 7.379
B Tm Ir
8 2 8
Cartesian
4.423 2.673 1.129 B
0.924 2.673 1.129 B
0.000 1.750 4.818 B
0.000 3.597 4.818 B
3.597 0.000 2.561 B
1.750 0.000 2.561 B
2.673 0.924 6.251 B
2.673 4.423 6.251 B
0.000 0.000 0.000 Tm
2.673 2.673 3.690 Tm
1.343 2.673 6.312 Ir
4.004 2.673 6.312 Ir
0.000 4.016 2.623 Ir
0.000 1.331 2.623 Ir
1.331 0.000 4.757 Ir
4.016 0.000 4.757 Ir
2.673 4.004 1.067 Ir
2.673 1.343 1.067 Ir


No. 6
BIrW3 | Alexandria | GGA-PBEsol | optimized geometry; volume = 20.60 A^3/atom; N(E_F) = 1.24 states/eV per atom; calculated formation energy = 2942 meV/atom; total energy = -8.71 eV per atom; mass density = 12.16 Mg/m³
1.0
-3.565 -0.342 -3.024
-1.210 -4.114 1.892
-2.793 2.220 3.041
B Ir W
1 1 3
Cartesian
-3.784 -1.118 0.954 B
0.000 0.000 0.000 Ir
-0.605 -2.057 0.946 W
-1.396 1.110 1.520 W
-1.783 -0.171 -1.512 W


No. 7
B2IrW2 | Alexandria | GGA-PBEsol | optimized geometry; volume = 11.22 A^3/atom; N(E_F) = 0.27 states/eV per atom; calculated formation energy = -357 meV/atom; total energy = -10.65 eV per atom; mass density = 17.21 Mg/m³
1.0
-0.826 1.788 -3.118
2.831 -3.744 -2.897
-4.569 -3.042 -0.534
B Ir W
4 2 4
Cartesian
-2.953 -4.129 -1.586 B
-0.309 -5.183 -2.891 B
1.214 -2.656 -1.845 B
-1.429 -1.602 -0.540 B
0.000 0.000 0.000 Ir
-0.869 -3.393 -1.715 Ir
-2.992 -1.776 -2.407 W
-2.313 -4.138 -3.942 W
0.428 -3.221 -4.142 W
-0.251 -0.859 -2.607 W


No. 8
YB2Ir | Alexandria | GGA-PBEsol | optimized geometry; volume = 12.17 A^3/atom; N(E_F) = 0.19 states/eV per atom; calculated formation energy = 10 meV/atom; total energy = -7.66 eV per atom; mass density = 10.32 Mg/m³
1.0
4.099 0.000 0.000
2.049 3.550 0.000
2.049 1.183 3.347
Y B Ir
1 2 1
Cartesian
0.000 0.000 0.000 Y
2.049 1.183 0.837 B
6.148 3.550 2.510 B
4.099 2.367 1.673 Ir


Repeat the seventh record exactly.
B2IrW2 | Alexandria | GGA-PBEsol | optimized geometry; volume = 11.22 A^3/atom; N(E_F) = 0.27 states/eV per atom; calculated formation energy = -357 meV/atom; total energy = -10.65 eV per atom; mass density = 17.21 Mg/m³
1.0
-0.826 1.788 -3.118
2.831 -3.744 -2.897
-4.569 -3.042 -0.534
B Ir W
4 2 4
Cartesian
-2.953 -4.129 -1.586 B
-0.309 -5.183 -2.891 B
1.214 -2.656 -1.845 B
-1.429 -1.602 -0.540 B
0.000 0.000 0.000 Ir
-0.869 -3.393 -1.715 Ir
-2.992 -1.776 -2.407 W
-2.313 -4.138 -3.942 W
0.428 -3.221 -4.142 W
-0.251 -0.859 -2.607 W